Entry 1:
Material: LaAlSO2
Method: DFT, GGA-PBE
State: optimized geometry

CIF file:
```
data_LaAlSO2
_space_group_name_H-M_alt 'P 4 m m'
_space_group_IT_number 99
_cell_length_a 3.7959
_cell_length_b 3.7959
_cell_length_c 5.6348
_cell_angle_alpha 90.00
_cell_angle_beta 90.00
_cell_angle_gamma 90.00
loop_
_space_group_symop_operation_xyz
'x,y,z'
'-y,x,z'
'-x,-y,z'
'y,-x,z'
'-x,y,z'
'y,x,z'
'x,-y,z'
'-y,-x,z'
loop_
_atom_site_label
_atom_site_fract_x
_atom_site_fract_y
_atom_site_fract_z
La1 0.0000 0.0000 0.0000
Al1 0.5000 0.5000 0.3570
S1 0.5000 0.5000 0.7633
O1 0.0000 0.5000 0.2671
```

Energy relative to the elements, uncorrected ... -2701 meV per atom

***

Entry 2:
Material: VIrRu2
Method: DFT, GGA-PBE
State: optimized geometry

CIF file:
```
data_VIrRu2
_space_group_name_H-M_alt 'C 1 m 1'
_space_group_IT_number 8
_cell_length_a 9.8179
_cell_length_b 2.7339
_cell_length_c 4.7105
_cell_angle_alpha 90.00
_cell_angle_beta 118.50
_cell_angle_gamma 90.00
loop_
_space_group_symop_operation_xyz
'x,y,z'
'x,-y,z'
'x+1/2,y+1/2,z'
'x+1/2,-y+1/2,z'
loop_
_atom_site_label
_atom_site_fract_x
_atom_site_fract_y
_atom_site_fract_z
V1 0.0000 0.0000 0.0000
Ir1 0.2516 0.0000 0.5786
Ru1 0.9996 0.5000 0.4928
Ru2 0.2488 0.5000 0.0756
```

Formation energy ... -0.2537 eV per atom
Energy above the lowest structure with this stoichiometry ... 0.12 eV per formula unit

***

Entry 3:
Material: TlCdPb2
Method: DFT, GGA-PBE
State: optimized geometry

CIF file:
```
data_TlCdPb2
_space_group_name_H-M_alt 'C m m 2'
_space_group_IT_number 35
_cell_length_a 3.7455
_cell_length_b 5.7614
_cell_length_c 10.9877
_cell_angle_alpha 90.00
_cell_angle_beta 90.00
_cell_angle_gamma 90.00
loop_
_space_group_symop_operation_xyz
'x,y,z'
'-x,-y,z'
'-x,y,z'
'x,-y,z'
'x+1/2,y+1/2,z'
'-x+1/2,-y+1/2,z'
'-x+1/2,y+1/2,z'
'x+1/2,-y+1/2,z'
loop_
_atom_site_label
_atom_site_fract_x
_atom_site_fract_y
_atom_site_fract_z
Tl1 0.0000 0.0000 0.0000
Cd1 0.0000 0.5000 0.7666
Pb1 0.0000 0.0000 0.5295
Pb2 0.0000 0.5000 0.2631
```

Formation energy ... 0.0435 eV per atom
Energy above the lowest structure with this stoichiometry ... 0.11 eV per formula unit

***

Entry 4:
Material: YThB4Ru6
Method: DFT, GGA-PBE
State: optimized geometry

CIF file:
```
data_YThB4Ru6
_space_group_name_H-M_alt 'P m m m'
_space_group_IT_number 47
_cell_length_a 3.0574
_cell_length_b 5.5446
_cell_length_c 9.5810
_cell_angle_alpha 90.00
_cell_angle_beta 90.00
_cell_angle_gamma 90.00
loop_
_space_group_symop_operation_xyz
'x,y,z'
'-x,-y,-z'
'-x,-y,z'
'x,y,-z'
'x,-y,-z'
'-x,y,z'
'-x,y,-z'
'x,-y,z'
loop_
_atom_site_label
_atom_site_fract_x
_atom_site_fract_y
_atom_site_fract_z
Y1 0.0000 0.0000 0.0000
Th1 0.0000 0.5000 0.5000
B1 0.0000 0.0000 0.3316
B2 0.0000 0.5000 0.1664
Ru1 0.5000 0.0000 0.5000
Ru2 0.5000 0.2471 0.2469
Ru3 0.5000 0.5000 0.0000
```

Formation energy ... -0.4883 eV per atom

***

Entry 5:
Material: K4La3TmO8
Method: DFT, GGA-PBE
State: optimized geometry

CIF file:
```
data_K4La3TmO8
_space_group_name_H-M_alt 'R -3 m'
_space_group_IT_number 166
_space_group_name_Hall '-R 3 2"'
_cell_length_a 7.3055
_cell_length_b 7.3055
_cell_length_c 18.8554
_cell_angle_alpha 90.00
_cell_angle_beta 90.00
_cell_angle_gamma 120.00
loop_
_atom_site_label
_atom_site_fract_x
_atom_site_fract_y
_atom_site_fract_z
K1 0.0000 0.0000 0.0000
K2 0.0000 0.5000 0.0000
La1 0.0000 0.5000 0.5000
Tm1 0.0000 0.0000 0.5000
O1 0.0000 0.0000 0.2305
O2 0.0159 0.5080 0.2292
```

Energy relative to the elements, uncorrected ... -2685 meV per atom

***

Entry 6:
Material: LaMnIn2
Method: DFT, GGA-PBE
State: optimized geometry

CIF file:
```
data_LaMnIn2
_space_group_name_H-M_alt 'R -3 m'
_space_group_IT_number 166
_space_group_name_Hall '-R 3 2"'
_cell_length_a 3.4041
_cell_length_b 3.4041
_cell_length_c 30.1456
_cell_angle_alpha 90.00
_cell_angle_beta 90.00
_cell_angle_gamma 120.00
loop_
_atom_site_label
_atom_site_fract_x
_atom_site_fract_y
_atom_site_fract_z
La1 0.0000 0.0000 0.0000
Mn1 0.0000 0.0000 0.5000
In1 0.0000 0.0000 0.2386
```

Formation energy ... 0.0911 eV per atom

***

Entry 7:
Material: Li2HgSe
Method: DFT, GGA-PBE
State: optimized geometry

CIF file:
```
data_Li2HgSe
_space_group_name_H-M_alt 'I -4 2 d'
_space_group_IT_number 122
_space_group_name_Hall 'I -4 2bw'
_cell_length_a 5.7363
_cell_length_b 5.7363
_cell_length_c 14.0540
_cell_angle_alpha 90.00
_cell_angle_beta 90.00
_cell_angle_gamma 90.00
loop_
_atom_site_label
_atom_site_fract_x
_atom_site_fract_y
_atom_site_fract_z
Li1 0.1348 0.2500 0.1250
Hg1 0.0000 0.0000 0.5000
Se1 0.0000 0.0000 0.0000
```

Energy relative to the elements, uncorrected ... -670 meV per atom
Energy above the lowest structure with this stoichiometry ... 0.57 eV per formula unit

***

Entry 8:
Material: TaZn2W
Method: DFT, GGA-PBE
State: optimized geometry

CIF file:
```
data_TaZn2W
_space_group_name_H-M_alt 'I m m m'
_space_group_IT_number 71
_space_group_name_Hall '-I 2 2'
_cell_length_a 3.7372
_cell_length_b 3.9539
_cell_length_c 8.4588
_cell_angle_alpha 90.00
_cell_angle_beta 90.00
_cell_angle_gamma 90.00
loop_
_atom_site_label
_atom_site_fract_x
_atom_site_fract_y
_atom_site_fract_z
Ta1 0.0000 0.0000 0.0000
Zn1 0.0000 0.5000 0.2494
W1 0.0000 0.0000 0.5000
```

Formation energy ... 0.1286 eV per atom
Energy above the lowest structure with this stoichiometry ... 0.20 eV per formula unit

***

Entry 9:
Material: CrGeMo
Method: DFT, GGA-PBE
State: optimized geometry

CIF file:
```
data_CrGeMo
_space_group_name_H-M_alt 'I 4 m m'
_space_group_IT_number 107
_space_group_name_Hall 'I 4 -2'
_cell_length_a 3.1127
_cell_length_b 3.1127
_cell_length_c 8.6383
_cell_angle_alpha 90.00
_cell_angle_beta 90.00
_cell_angle_gamma 90.00
loop_
_atom_site_label
_atom_site_fract_x
_atom_site_fract_y
_atom_site_fract_z
Cr1 0.0000 0.0000 0.0000
Ge1 0.0000 0.0000 0.6627
Mo1 0.0000 0.0000 0.3431
```

Formation energy ... 0.0217 eV per atom

***

Entry 10:
Material: Tm4TlCd
Method: DFT, GGA-PBE
State: optimized geometry

CIF file:
```
data_Tm4TlCd
_space_group_name_H-M_alt 'P 4/m m m'
_space_group_IT_number 123
_space_group_name_Hall '-P 4 2'
_cell_length_a 5.0852
_cell_length_b 5.0852
_cell_length_c 7.2393
_cell_angle_alpha 90.00
_cell_angle_beta 90.00
_cell_angle_gamma 90.00
loop_
_atom_site_label
_atom_site_fract_x
_atom_site_fract_y
_atom_site_fract_z
Tm1 0.0000 0.5000 0.2430
Tl1 0.0000 0.0000 0.5000
Cd1 0.5000 0.5000 0.0000
```

Formation energy ... 0.0385 eV per atom
Energy above the lowest structure with this stoichiometry ... 1.43 eV per formula unit

***

Entry 11:
Material: Ti5Zn2
Method: DFT, GGA-PBE
State: optimized geometry

CIF file:
```
data_Ti5Zn2
_space_group_name_H-M_alt 'C 1 2/m 1'
_space_group_IT_number 12
_cell_length_a 11.2498
_cell_length_b 2.9631
_cell_length_c 7.1525
_cell_angle_alpha 90.00
_cell_angle_beta 104.92
_cell_angle_gamma 90.00
loop_
_space_group_symop_operation_xyz
'x,y,z'
'-x,-y,-z'
'-x,y,-z'
'x,-y,z'
'x+1/2,y+1/2,z'
'-x+1/2,-y+1/2,-z'
'-x+1/2,y+1/2,-z'
'x+1/2,-y+1/2,z'
loop_
_atom_site_label
_atom_site_fract_x
_atom_site_fract_y
_atom_site_fract_z
Ti1 0.0000 0.0000 0.0000
Ti2 0.1398 0.0000 0.4388
Ti3 0.2198 0.5000 0.1572
Zn1 0.0692 0.5000 0.7282
```

Formation energy ... -0.0869 eV per atom

***

Entry 12:
Material: YMgO2
Method: DFT, GGA-PBE
State: optimized geometry

CIF file:
```
data_YMgO2
_space_group_name_H-M_alt 'I -4 2 d'
_space_group_IT_number 122
_space_group_name_Hall 'I -4 2bw'
_cell_length_a 5.0123
_cell_length_b 5.0123
_cell_length_c 10.0620
_cell_angle_alpha 90.00
_cell_angle_beta 90.00
_cell_angle_gamma 90.00
loop_
_atom_site_label
_atom_site_fract_x
_atom_site_fract_y
_atom_site_fract_z
Y1 0.0000 0.0000 0.0000
Mg1 0.0000 0.0000 0.5000
O1 0.2234 0.2500 0.6250
```

Energy relative to the elements, uncorrected ... -2456 meV per atom